# 1
First-principles (PBE) data for a geometry-optimized Lu2HfSc structure, as listed in the Alexandria database.

```
Lu2HfSc
1.0
0.0000 3.7412 3.7412
3.7412 0.0000 3.7412
3.7412 3.7412 0.0000
Lu Hf Sc
2 1 1
direct
0.2500 0.2500 0.2500 Lu
0.7500 0.7500 0.7500 Lu
0.0000 0.0000 0.0000 Hf
0.5000 0.5000 0.5000 Sc
```

## Properties
* N(E_F): 9.15 states/eV/cell
* ΔE_f: 237 meV per atom
* distance to the lowest polymorph of the same formula: 0.58 eV/f.u.
* raw total energy: -24.38 eV per cell

# 2
First-principles (PBE) data for a geometry-optimized Lu2HfSc structure, as listed in the Alexandria database.

```
Lu2HfSc
1.0
3.3118 0.0000 0.0000
0.0000 3.3118 0.0000
0.0000 0.0000 9.4864
Lu Hf Sc
2 1 1
direct
0.0000 0.0000 0.2394 Lu
0.0000 0.0000 0.7606 Lu
0.5000 0.5000 0.0000 Hf
0.5000 0.5000 0.5000 Sc
```

## Properties
* N(E_F): 6.19 states/eV/cell
* ΔE_f: 93 meV per atom
* distance to the lowest polymorph of the same formula: 0.00 eV/f.u.
* raw total energy: -24.96 eV per cell

# 3
First-principles (PBE) data for a geometry-optimized Lu2HfSc structure, as listed in the Alexandria database.

```
Lu2HfSc
1.0
4.6949 0.0000 0.0000
0.0000 4.6949 0.0000
0.0000 0.0000 4.6698
Lu Hf Sc
2 1 1
direct
0.0000 0.5000 0.0000 Lu
0.5000 0.0000 0.0000 Lu
0.0000 0.0000 0.5000 Hf
0.5000 0.5000 0.5000 Sc
```

## Properties
* N(E_F): 6.32 states/eV/cell
* ΔE_f: 112 meV per atom
* distance to the lowest polymorph of the same formula: 0.08 eV/f.u.
* raw total energy: -24.88 eV per cell

# 4
First-principles (PBE) data for a geometry-optimized SmLuHfSc structure, as listed in the Alexandria database.

```
SmLuHfSc
1.0
0.0000 3.7683 3.7683
3.7683 0.0000 3.7683
3.7683 3.7683 0.0000
Sm Lu Hf Sc
1 1 1 1
direct
0.0000 0.0000 0.0000 Sm
0.7500 0.7500 0.7500 Lu
0.5000 0.5000 0.5000 Hf
0.2500 0.2500 0.2500 Sc
```

## Properties
* N(E_F): 7.79 states/eV/cell
* ΔE_f: 236 meV per atom
* raw total energy: -24.58 eV per cell

Number 1: spin magnetization 0.5924 μB/atom. Number 2: spin magnetization 0.0000 μB/atom. Number 3: spin magnetization 0.0002 μB/atom. Number 4: spin magnetization 0.0103 μB/atom.